## LiMn2Zn (PBEsol)

Data for a geometry-optimized LiMn2Zn structure.

- Total magnetization: 0.2073 μB per atom
- V: 11.068 A^3/atom
- N(E_F): 4.01 states/eV/cell
- E_form: 281 meV per atom

Cell lengths 2.8529, 3.6958, 4.8036 Å; angles 112.61, 107.28, 90.00 degrees
With the nearest neighbours (Å) after each atom.
Fractional coordinates of all 4 atoms:
Li  0.5000  0.0000  0.0000  4 Zn 2.33, 4 Mn 2.54
Mn  0.2506  0.2506  0.5013  4 Mn 2.33, 2 Zn 2.53, 2 Li 2.54
Mn  0.7494  0.7494  0.4987  4 Mn 2.33, 2 Zn 2.53, 2 Li 2.54
Zn  0.0000  0.5000  0.0000  4 Li 2.33, 4 Mn 2.53